# Pd5PtAu4 (PBE, optimized geometry)
data_Pd5PtAu4
_chemical_formula_sum 'Pd10 Pt2 Au8'
_symmetry_space_group_name_H-M 'P m m n'
_symmetry_Int_Tables_number 59
_cell_length_a 8.250
_cell_length_b 9.112
_cell_length_c 4.721
_cell_angle_alpha 90.00
_cell_angle_beta 90.00
_cell_angle_gamma 90.00
loop_
_symmetry_equiv_pos_as_xyz
'x,y,z'
'-x,-y,-z'
'-x+1/2,-y+1/2,z'
'x+1/2,y+1/2,-z'
'x+1/2,-y,-z'
'-x+1/2,y,z'
'-x,y+1/2,-z'
'x,-y+1/2,z'
loop_
_atom_site_label
_atom_site_type_symbol
_atom_site_fract_x
_atom_site_fract_y
_atom_site_fract_z
_atom_site_occupancy
Pd1 Pd 0.083 0.007 0.244 1
Pd2 Pd 0.250 0.250 0.098 1
Pt1 Pt 0.250 0.750 0.245 1
Au1 Au 0.076 0.250 0.608 1
Au2 Au 0.250 0.579 0.748 1
# Total energy (eV per cell): -87.573
# ΔH_f (0 K) (eV/f.u.): 1.328

---

# Na4AcHg15 (PBE, optimized geometry)
data_Na4AcHg15
_chemical_formula_sum 'Na4 Ac1 Hg15'
_symmetry_space_group_name_H-M 'P 4/m m m'
_symmetry_Int_Tables_number 123
_symmetry_space_group_name_Hall '-P 4 2'
_cell_length_a 4.765
_cell_length_b 4.765
_cell_length_c 23.398
_cell_angle_alpha 90.00
_cell_angle_beta 90.00
_cell_angle_gamma 90.00
loop_
_atom_site_label
_atom_site_type_symbol
_atom_site_fract_x
_atom_site_fract_y
_atom_site_fract_z
_atom_site_occupancy
Na1 Na 0.000 0.000 0.098 1
Na2 Na 0.000 0.000 0.294 1
Ac1 Ac 0.000 0.000 0.500 1
Hg1 Hg 0.000 0.500 0.000 1
Hg2 Hg 0.000 0.500 0.197 1
Hg3 Hg 0.000 0.500 0.393 1
Hg4 Hg 0.500 0.500 0.098 1
Hg5 Hg 0.500 0.500 0.296 1
Hg6 Hg 0.500 0.500 0.500 1
# Total energy (eV per cell): -18.549
# ΔH_f (0 K) (eV/f.u.): -4.638

---

# ReAs (PBE, optimized geometry)
data_ReAs
_chemical_formula_sum 'Re8 As8'
_symmetry_space_group_name_H-M 'I 4/m'
_symmetry_Int_Tables_number 87
_symmetry_space_group_name_Hall '-I 4'
_cell_length_a 10.848
_cell_length_b 10.848
_cell_length_c 3.150
_cell_angle_alpha 90.00
_cell_angle_beta 90.00
_cell_angle_gamma 90.00
loop_
_atom_site_label
_atom_site_type_symbol
_atom_site_fract_x
_atom_site_fract_y
_atom_site_fract_z
_atom_site_occupancy
Re1 Re 0.155 0.268 0.000 1
As1 As 0.068 0.701 0.000 1
# Total energy (eV per cell): -129.477
# ΔH_f (0 K) (eV/f.u.): 0.913

---

no.,total magnetic moment (μB per atom)
1,0.0000
2,0.0001
3,0.0000